# LiCaCl2 PBE relaxed
# Energy above the most stable polymorph in this dataset (meV/atom): 122
# E_form (uncorrected) (eV per atom): -1.47
# Final energy (eV/atom): -3.373
data_LiCaCl2
_chemical_formula_sum 'Li2 Ca2 Cl4'
_space_group_name_H-M_alt 'I m m m'
_space_group_IT_number 71
_space_group_name_Hall '-I 2 2'
_cell_length_a 3.622
_cell_length_b 6.726
_cell_length_c 7.846
_cell_angle_alpha 90.00
_cell_angle_beta 90.00
_cell_angle_gamma 90.00
loop_
_atom_site_label
_atom_site_fract_x
_atom_site_fract_y
_atom_site_fract_z
Li1 0.000 0.000 0.000
Ca1 0.000 0.000 0.500
Cl1 0.000 0.500 0.280

***

# Li2CaCl PBE relaxed
# Energy above the most stable polymorph in this dataset (meV/atom): 45
# E_form (uncorrected) (eV per atom): -0.72
# Final energy (eV/atom): -2.642
data_Li2CaCl
_chemical_formula_sum 'Li4 Ca2 Cl2'
_space_group_name_H-M_alt 'C m m m'
_space_group_IT_number 65
_space_group_name_Hall '-C 2 2'
_cell_length_a 3.717
_cell_length_b 6.359
_cell_length_c 9.205
_cell_angle_alpha 90.00
_cell_angle_beta 90.00
_cell_angle_gamma 90.00
loop_
_atom_site_label
_atom_site_fract_x
_atom_site_fract_y
_atom_site_fract_z
Li1 0.000 0.000 0.171
Ca1 0.000 0.500 0.500
Cl1 0.000 0.500 0.000

***

# Li2CaCl PBE relaxed
# Energy above the most stable polymorph in this dataset (meV/atom): 27
# E_form (uncorrected) (eV per atom): -0.74
# Final energy (eV/atom): -2.660
data_Li2CaCl
_chemical_formula_sum 'Li4 Ca2 Cl2'
_space_group_name_H-M_alt 'C m m m'
_space_group_IT_number 65
_space_group_name_Hall '-C 2 2'
_cell_length_a 5.638
_cell_length_b 9.814
_cell_length_c 3.759
_cell_angle_alpha 90.00
_cell_angle_beta 90.00
_cell_angle_gamma 90.00
loop_
_atom_site_label
_atom_site_fract_x
_atom_site_fract_y
_atom_site_fract_z
Li1 0.000 0.176 0.000
Ca1 0.000 0.500 0.500
Cl1 0.000 0.000 0.500

***

# LiCaCl2 PBE relaxed
# Energy above the most stable polymorph in this dataset (meV/atom): 241
# E_form (uncorrected) (eV per atom): -1.35
# Final energy (eV/atom): -3.253
data_LiCaCl2
_chemical_formula_sum 'Li1 Ca1 Cl2'
_space_group_name_H-M_alt 'P 4/m m m'
_space_group_IT_number 123
_space_group_name_Hall '-P 4 2'
_cell_length_a 3.538
_cell_length_b 3.538
_cell_length_c 6.878
_cell_angle_alpha 90.00
_cell_angle_beta 90.00
_cell_angle_gamma 90.00
loop_
_atom_site_label
_atom_site_fract_x
_atom_site_fract_y
_atom_site_fract_z
Li1 0.000 0.000 0.000
Ca1 0.000 0.000 0.500
Cl1 0.500 0.500 0.261

***

# Li2CaCl PBE relaxed
# Energy above the most stable polymorph in this dataset (meV/atom): 21
# E_form (uncorrected) (eV per atom): -0.75
# Final energy (eV/atom): -2.667
data_Li2CaCl
_chemical_formula_sum 'Li6 Ca3 Cl3'
_space_group_name_H-M_alt 'R 3 m'
_space_group_IT_number 160
_space_group_name_Hall 'R 3 -2"'
_cell_length_a 3.6743
_cell_length_b 3.6743
_cell_length_c 26.5004
_cell_angle_alpha 90.00
_cell_angle_beta 90.00
_cell_angle_gamma 120.00
loop_
_atom_site_label
_atom_site_fract_x
_atom_site_fract_y
_atom_site_fract_z
Li1 0.0000 0.0000 0.0000
Li2 0.0000 0.0000 0.2381
Ca1 0.0000 0.0000 0.7672
Cl1 0.0000 0.0000 0.5146

***

# LiCaCl2 PBE relaxed
# Energy above the most stable polymorph in this dataset (meV/atom): 679
# E_form (uncorrected) (eV per atom): -0.91
# Final energy (eV/atom): -2.816
data_LiCaCl2
_chemical_formula_sum 'Li4 Ca4 Cl8'
_space_group_name_H-M_alt 'F -4 3 m'
_space_group_IT_number 216
_space_group_name_Hall 'F -4 2 3'
_cell_length_a 7.256
_cell_length_b 7.256
_cell_length_c 7.256
_cell_angle_alpha 90.00
_cell_angle_beta 90.00
_cell_angle_gamma 90.00
loop_
_atom_site_label
_atom_site_fract_x
_atom_site_fract_y
_atom_site_fract_z
Li1 0.000 0.000 0.000
Ca1 0.250 0.250 0.750
Cl1 0.000 0.000 0.500
Cl2 0.250 0.250 0.250

***

# LiCaCl2 PBE relaxed
# Energy above the most stable polymorph in this dataset (meV/atom): 35
# E_form (uncorrected) (eV per atom): -1.56
# Final energy (eV/atom): -3.460
data_LiCaCl2
_chemical_formula_sum 'Li1 Ca1 Cl2'
_space_group_name_H-M_alt 'P 1 m 1'
_space_group_IT_number 6
_cell_length_a 4.055
_cell_length_b 5.235
_cell_length_c 5.614
_cell_angle_alpha 90.00
_cell_angle_beta 109.85
_cell_angle_gamma 90.00
loop_
_space_group_symop_operation_xyz
'x,y,z'
'x,-y,z'
loop_
_atom_site_label
_atom_site_fract_x
_atom_site_fract_y
_atom_site_fract_z
Li1 0.000 0.000 0.000
Ca1 0.298 0.500 0.592
Cl1 0.044 0.500 0.070
Cl2 0.387 0.000 0.758

***

# Li2CaCl PBE relaxed
# Energy above the most stable polymorph in this dataset (meV/atom): 96
# E_form (uncorrected) (eV per atom): -0.67
# Final energy (eV/atom): -2.592
data_Li2CaCl
_chemical_formula_sum 'Li4 Ca2 Cl2'
_space_group_name_H-M_alt 'C 1 m 1'
_space_group_IT_number 8
_cell_length_a 10.885
_cell_length_b 3.486
_cell_length_c 5.971
_cell_angle_alpha 90.00
_cell_angle_beta 117.80
_cell_angle_gamma 90.00
loop_
_space_group_symop_operation_xyz
'x,y,z'
'x,-y,z'
'x+1/2,y+1/2,z'
'x+1/2,-y+1/2,z'
loop_
_atom_site_label
_atom_site_fract_x
_atom_site_fract_y
_atom_site_fract_z
Li1 0.000 0.000 0.000
Li2 0.197 0.000 0.746
Ca1 0.322 0.500 0.349
Cl1 0.048 0.500 0.365

***

# LiCaCl3 PBE relaxed
# Energy above the most stable polymorph in this dataset (meV/atom): 0
# E_form (uncorrected) (eV per atom): -2.13
# Final energy (eV/atom): -4.020
data_LiCaCl3
_chemical_formula_sum 'Li4 Ca4 Cl12'
_space_group_name_H-M_alt 'C 1 2/m 1'
_space_group_IT_number 12
_cell_length_a 6.672
_cell_length_b 12.249
_cell_length_c 6.546
_cell_angle_alpha 90.00
_cell_angle_beta 109.00
_cell_angle_gamma 90.00
loop_
_space_group_symop_operation_xyz
'x,y,z'
'-x,-y,-z'
'-x,y,-z'
'x,-y,z'
'x+1/2,y+1/2,z'
'-x+1/2,-y+1/2,-z'
'-x+1/2,y+1/2,-z'
'x+1/2,-y+1/2,z'
loop_
_atom_site_label
_atom_site_fract_x
_atom_site_fract_y
_atom_site_fract_z
Li1 0.000 0.162 0.000
Ca1 0.000 0.343 0.500
Cl1 0.241 0.000 0.248
Cl2 0.243 0.309 0.238

***

# LiCaCl2 PBE relaxed
# Energy above the most stable polymorph in this dataset (meV/atom): 90
# E_form (uncorrected) (eV per atom): -1.50
# Final energy (eV/atom): -3.405
data_LiCaCl2
_chemical_formula_sum 'Li2 Ca2 Cl4'
_space_group_name_H-M_alt 'C 1 2/m 1'
_space_group_IT_number 12
_cell_length_a 7.645
_cell_length_b 7.656
_cell_length_c 4.289
_cell_angle_alpha 90.00
_cell_angle_beta 90.90
_cell_angle_gamma 90.00
loop_
_space_group_symop_operation_xyz
'x,y,z'
'-x,-y,-z'
'-x,y,-z'
'x,-y,z'
'x+1/2,y+1/2,z'
'-x+1/2,-y+1/2,-z'
'-x+1/2,y+1/2,-z'
'x+1/2,-y+1/2,z'
loop_
_atom_site_label
_atom_site_fract_x
_atom_site_fract_y
_atom_site_fract_z
Li1 0.000 0.000 0.000
Ca1 0.000 0.500 0.000
Cl1 0.250 0.250 0.000

***

# LiCa2Cl PBE relaxed
# Energy above the most stable polymorph in this dataset (meV/atom): 111
# E_form (uncorrected) (eV per atom): -0.64
# Final energy (eV/atom): -2.584
data_LiCa2Cl
_chemical_formula_sum 'Li1 Ca2 Cl1'
_space_group_name_H-M_alt 'P 4/m m m'
_space_group_IT_number 123
_space_group_name_Hall '-P 4 2'
_cell_length_a 3.643
_cell_length_b 3.643
_cell_length_c 8.599
_cell_angle_alpha 90.00
_cell_angle_beta 90.00
_cell_angle_gamma 90.00
loop_
_atom_site_label
_atom_site_fract_x
_atom_site_fract_y
_atom_site_fract_z
Li1 0.000 0.000 0.000
Ca1 0.500 0.500 0.250
Cl1 0.000 0.000 0.500

***

# LiCa2Cl PBE relaxed
# Energy above the most stable polymorph in this dataset (meV/atom): 193
# E_form (uncorrected) (eV per atom): -0.56
# Final energy (eV/atom): -2.502
data_LiCa2Cl
_chemical_formula_sum 'Li2 Ca4 Cl2'
_space_group_name_H-M_alt 'C 1 2/m 1'
_space_group_IT_number 12
_cell_length_a 7.605
_cell_length_b 8.928
_cell_length_c 3.639
_cell_angle_alpha 90.00
_cell_angle_beta 106.39
_cell_angle_gamma 90.00
loop_
_space_group_symop_operation_xyz
'x,y,z'
'-x,-y,-z'
'-x,y,-z'
'x,-y,z'
'x+1/2,y+1/2,z'
'-x+1/2,-y+1/2,-z'
'-x+1/2,y+1/2,-z'
'x+1/2,-y+1/2,z'
loop_
_atom_site_label
_atom_site_fract_x
_atom_site_fract_y
_atom_site_fract_z
Li1 0.000 0.000 0.000
Ca1 0.250 0.250 0.500
Cl1 0.000 0.500 0.000

***

Question: Among the records above, which one has the lowest E_form (uncorrected)?
Answer: LiCaCl3

***

Question: Which formula does entry 2 have?
Answer: Li2CaCl

***

Question: Which of these has the highest energy above the most stable polymorph in this dataset?
Answer: number 6